GGA-PBE MoWSe, optimized geometry; relative energy among the computed polymorphs = 0.11 eV/f.u.; theoretical density = 12.3 g cm⁻³; raw total energy = -8.746 eV per atom; SG = No. 187; raw formation energy = 0.34 eV per atom
1.0
-1.237 4.141 0.408
-2.748 -2.935 -1.638
-1.019 -0.575 2.740
Mo Se W
1 1 1
direct
0.000 0.000 0.001
0.667 0.333 0.500
0.333 0.667 0.499